Fe2OsRu | PBE-GGA | relaxed

```
data_Fe2OsRu
_space_group_name_H-M_alt 'C 1 2/m 1'
_space_group_IT_number 12
_cell_length_a 8.593
_cell_length_b 2.650
_cell_length_c 4.623
_cell_angle_alpha 90.00
_cell_angle_beta 100.25
_cell_angle_gamma 90.00
loop_
_space_group_symop_operation_xyz
'x,y,z'
'-x,-y,-z'
'-x,y,-z'
'x,-y,z'
'x+1/2,y+1/2,z'
'-x+1/2,-y+1/2,-z'
'-x+1/2,y+1/2,-z'
'x+1/2,-y+1/2,z'
loop_
_atom_site_label
_atom_site_fract_x
_atom_site_fract_y
_atom_site_fract_z
Fe1 0.250 0.000 0.248
Os1 0.000 0.500 0.000
Ru1 0.000 0.000 0.500
```

Summary:
Energy of formation ... 0.7 eV/f.u.
Total moment ... 7.9 μB/cell
Energy ... -9.19 eV per atom
DOS(E_F) ... 1.0490 states/eV per atom

---

Fe2OsRu | PBE-GGA | relaxed

```
data_Fe2OsRu
_space_group_name_H-M_alt 'P 4 m m'
_space_group_IT_number 99
_cell_length_a 2.808
_cell_length_b 2.808
_cell_length_c 6.546
_cell_angle_alpha 90.00
_cell_angle_beta 90.00
_cell_angle_gamma 90.00
loop_
_space_group_symop_operation_xyz
'x,y,z'
'-y,x,z'
'-x,-y,z'
'y,-x,z'
'-x,y,z'
'y,x,z'
'x,-y,z'
'-y,-x,z'
loop_
_atom_site_label
_atom_site_fract_x
_atom_site_fract_y
_atom_site_fract_z
Fe1 0.000 0.000 0.000
Fe2 0.500 0.500 0.214
Os1 0.000 0.000 0.465
Ru1 0.500 0.500 0.748
```

Summary:
Energy of formation ... 0.6 eV/f.u.
Total moment ... 5.0 μB/cell
Energy ... -9.21 eV per atom
DOS(E_F) ... 1.1422 states/eV per atom